1.
The following is a GGA-PBE calculation of Nd12CdPd6 after structural relaxation, from Alexandria via LeMat-Bulk.

Structure (POSCAR):
```
Nd12CdPd6
1.0
7.309 4.220 3.077
-7.309 4.220 3.077
0.000 -8.440 3.077
Nd Cd Pd
12 1 6
direct
0.054 0.352 0.115
0.115 0.054 0.352
0.177 0.469 0.643
0.352 0.115 0.054
0.357 0.823 0.531
0.469 0.643 0.177
0.531 0.357 0.823
0.643 0.177 0.469
0.648 0.885 0.946
0.823 0.531 0.357
0.885 0.946 0.648
0.946 0.648 0.885
0.500 0.500 0.500
0.146 0.790 0.716
0.210 0.284 0.854
0.284 0.854 0.210
0.716 0.146 0.790
0.790 0.716 0.146
0.854 0.210 0.284
```

E_form, eV/atom: -0.40
SG: R-3, No. 148
Crystal system: trigonal

---

2.
The following is a GGA-PBE calculation of Nd11Cd9Pd4 after structural relaxation, from Alexandria via LeMat-Bulk.

Structure (POSCAR):
```
Nd11Cd9Pd4
1.0
7.477 -11.232 0.000
7.477 11.232 0.000
0.000 0.000 3.802
Nd Cd Pd
11 9 4
direct
0.000 0.000 0.000
0.071 0.414 0.000
0.163 0.837 0.000
0.304 0.304 0.000
0.371 0.629 0.000
0.414 0.071 0.000
0.586 0.929 0.000
0.629 0.371 0.000
0.696 0.696 0.000
0.837 0.163 0.000
0.929 0.586 0.000
0.073 0.216 0.500
0.160 0.633 0.500
0.216 0.073 0.500
0.367 0.840 0.500
0.500 0.500 0.500
0.633 0.160 0.500
0.784 0.927 0.500
0.840 0.367 0.500
0.927 0.784 0.500
0.249 0.449 0.500
0.449 0.249 0.500
0.551 0.751 0.500
0.751 0.551 0.500
```

E_form, eV/atom: -0.51
SG: Cmmm, No. 65
Crystal system: orthorhombic

---

3.
The following is a GGA-PBE calculation of NdCd5Pd2 after structural relaxation, from Alexandria via LeMat-Bulk.

Structure (POSCAR):
```
NdCd5Pd2
1.0
-2.027 4.302 5.097
2.027 -4.302 5.097
2.027 4.302 -5.097
Nd Cd Pd
1 5 2
direct
0.000 0.000 0.000
0.159 0.349 0.810
0.461 0.651 0.810
0.500 0.000 0.500
0.539 0.349 0.190
0.841 0.651 0.190
0.223 0.723 0.500
0.777 0.277 0.500
```

E_form, eV/atom: -0.36
SG: Immm, No. 71
Crystal system: orthorhombic